Compound: Pa3Al4Ir4
Source: Alexandria via LeMat-Bulk
Functional: GGA-PBE
Structure: relaxed

```
11
Lattice="3.8447 0.0000 -0.9564 -0.9010 6.4134 -3.6220 -0.0127 0.3111 8.1552" Properties=species:S:1:pos:R:3 pbc="T T T"
Al 0.7625 3.5028 3.0652
Al 1.8192 5.7086 -0.8929
Al 1.1118 1.0159 4.4696
Al 2.1686 3.2218 0.5116
Ir 1.2183 5.0115 -3.3085
Ir 1.7254 1.4019 -1.2699
Ir 0.2186 4.8198 0.8789
Ir 2.7124 1.9047 2.6979
Pa 2.5945 5.9132 2.2239
Pa 0.3365 0.8113 1.3529
Pa -0.4505 3.2067 -1.8110
```

Values from the calculation:
spin magnetization	0.00	Bohr magnetons per cell
energy of formation	-84	kJ/mol of atoms
calculated volume	205.61	Å³ per cell
space group	Immm (71)

Compound: CaGePd
Source: Alexandria via LeMat-Bulk
Functional: GGA-PBE
Structure: relaxed

```
3
Lattice="-3.2865 1.8165 0.7150 -2.2097 -3.7154 -0.7179 1.4113 0.9652 4.0347" Properties=species:S:1:pos:R:3 pbc="T T T"
Pd -1.5499 -1.8527 0.9854
Ca -1.9858 0.6155 2.9270
Ge -0.5492 0.3036 0.1195
```

Values from the calculation:
spin magnetization	0.00	Bohr magnetons per cell
energy of formation	-71	kJ/mol of atoms
calculated volume	63.57	Å³ per cell
space group	P-6m2 (187)